The following is a PBE calculation of a relaxed structure of Cs2InI3, from Alexandria via LeMat-Bulk.

a = 9.4997 Å, b = 9.1348 Å, c = 9.1348 Å
α = 117.84°, β = 90.00°, γ = 90.00°
With the nearest neighbours (Å) after each atom.
Positions (direct):
Cs1 0.7500 0.4984 0.1575  5 I 3.84-3.90
Cs2 0.2500 0.5016 0.8425  5 I 3.84-3.90
Cs3 0.2500 0.8425 0.5016  5 I 3.84-3.90
Cs4 0.7500 0.1575 0.4984  5 I 3.84-3.90
In1 0.7500 0.9505 0.9505  1 I 3.11
In2 0.2500 0.0495 0.0495  1 I 3.11
I1 0.2500 0.3790 0.3790  1 In 3.11
I2 0.7500 0.6210 0.6210  1 In 3.11
I3 0.5000 0.1666 0.8334  2 In 3.56, 4 Cs 3.84-3.90
I4 0.0000 0.1666 0.8334  2 In 3.56, 4 Cs 3.84-3.90
I5 0.5000 0.8334 0.1666  2 In 3.56, 4 Cs 3.84-3.90
I6 0.0000 0.8334 0.1666  2 In 3.56, 4 Cs 3.84-3.90

---

The following is a PBE calculation of a relaxed structure of Cs3InI4, from Alexandria via LeMat-Bulk.

a = 7.7085 Å, b = 10.6813 Å, c = 13.4755 Å
α = 90.00°, β = 90.00°, γ = 90.00°
With the nearest neighbours (Å) after each atom.
Positions (direct):
Cs1 0.5583 0.8386 0.0000  5 I 3.76-3.86
Cs2 0.0573 0.6762 0.2454  5 I 3.76-3.86
Cs3 0.5573 0.3238 0.2546  5 I 3.76-3.86
Cs4 0.0583 0.1614 0.5000  5 I 3.76-3.86
Cs5 0.5573 0.3238 0.7454  5 I 3.76-3.86
Cs6 0.0573 0.6762 0.7546  5 I 3.76-3.86
In1 0.0449 0.1818 0.0000  4 I 3.24-3.55
In2 0.5449 0.8182 0.5000  4 I 3.24-3.55
I1 0.0580 0.8617 0.0000  1 In 3.42
I2 0.6246 0.1874 0.0000  1 In 3.24
I3 0.0574 0.3161 0.2410  1 In 3.55, 4 Cs 3.85-3.86
I4 0.5574 0.6839 0.2590  1 In 3.55, 4 Cs 3.85-3.86
I5 0.1246 0.8126 0.5000  1 In 3.24
I6 0.5580 0.1383 0.5000  1 In 3.42
I7 0.5574 0.6839 0.7410  1 In 3.55, 4 Cs 3.85-3.86
I8 0.0574 0.3161 0.7590  1 In 3.55, 4 Cs 3.85-3.86

---

The following is a PBE calculation of a relaxed structure of Cs3InI6, from Alexandria via LeMat-Bulk.

a = 10.5726 Å, b = 10.5726 Å, c = 10.5726 Å
α = 90.31°, β = 90.31°, γ = 90.31°
With the nearest neighbours (Å) after each atom.
Positions (direct):
Cs1 0.4340 0.9264 0.7568  6 I 3.86-3.92
Cs2 0.9264 0.7568 0.4340  6 I 3.86-3.92
Cs3 0.2432 0.5660 0.0736  6 I 3.86-3.92
Cs4 0.7568 0.4340 0.9264  6 I 3.86-3.92
Cs5 0.0736 0.2432 0.5660  6 I 3.86-3.92
Cs6 0.5660 0.0736 0.2432  6 I 3.86-3.92
In1 0.0000 0.0000 0.0000  6 I 2.98
In2 0.5000 0.5000 0.5000  6 I 2.98
I1 0.2616 0.9357 0.0840  1 In 2.98
I2 0.0643 0.9160 0.7384  1 In 2.98
I3 0.5603 0.7709 0.4514  1 In 2.98
I4 0.9160 0.7384 0.0643  1 In 2.98
I5 0.4514 0.5603 0.7709  1 In 2.98
I6 0.2291 0.5486 0.4397  1 In 2.98
I7 0.7709 0.4514 0.5603  1 In 2.98
I8 0.5486 0.4397 0.2291  1 In 2.98
I9 0.0840 0.2616 0.9357  1 In 2.98
I10 0.4397 0.2291 0.5486  1 In 2.98
I11 0.9357 0.0840 0.2616  1 In 2.98
I12 0.7384 0.0643 0.9160  1 In 2.98

---

The following is a PBE calculation of a relaxed structure of CsIn3I4, from Alexandria via LeMat-Bulk.

a = 9.5233 Å, b = 9.5233 Å, c = 9.5233 Å
α = 90.00°, β = 90.00°, γ = 90.00°
With the nearest neighbours (Å) after each atom.
Positions (direct):
Cs1 0.0000 0.0000 0.0000  8 I 4.12
Cs2 0.5000 0.5000 0.5000  8 I 4.12
In1 0.0000 0.5000 0.2500  4 I 3.37
In2 0.0000 0.5000 0.7500  4 I 3.37
In3 0.2500 0.0000 0.5000  4 I 3.37
In4 0.5000 0.2500 0.0000  4 I 3.37
In5 0.5000 0.7500 0.0000  4 I 3.37
In6 0.7500 0.0000 0.5000  4 I 3.37
I1 0.2500 0.2500 0.2500  3 In 3.37
I2 0.2500 0.7500 0.2500  3 In 3.37
I3 0.2500 0.2500 0.7500  3 In 3.37
I4 0.2500 0.7500 0.7500  3 In 3.37
I5 0.7500 0.2500 0.2500  3 In 3.37
I6 0.7500 0.2500 0.7500  3 In 3.37
I7 0.7500 0.7500 0.2500  3 In 3.37
I8 0.7500 0.7500 0.7500  3 In 3.37

---

The following is a PBE calculation of a relaxed structure of CsIn4I5, from Alexandria via LeMat-Bulk.

a = 5.0801 Å, b = 8.7590 Å, c = 11.4048 Å
α = 75.37°, β = 77.13°, γ = 73.14°
With the nearest neighbours (Å) after each atom.
Positions (direct):
Cs1 0.0000 0.0000 0.0000  6 I 3.79-3.81
In1 0.5970 0.2073 0.5986  6 I 3.43-3.62
In2 0.2009 0.3879 0.2103  6 I 3.46-3.67
In3 0.7991 0.6121 0.7897  6 I 3.46-3.67
In4 0.4030 0.7927 0.4014  6 I 3.43-3.62
I1 0.2056 0.9088 0.6801  5 In 3.43-3.59, 1 Cs 3.79
I2 0.7944 0.0912 0.3199  5 In 3.43-3.59, 1 Cs 3.79
I3 0.3865 0.3370 0.8900  4 In 3.46-3.67, 2 Cs 3.81
I4 0.0000 0.5000 0.5000  6 In 3.53-3.55
I5 0.6135 0.6630 0.1100  4 In 3.46-3.67, 2 Cs 3.81

---

The following is a PBE calculation of a relaxed structure of CsIn2I8, from Alexandria via LeMat-Bulk.

a = 8.6371 Å, b = 8.9998 Å, c = 9.7524 Å
α = 105.86°, β = 90.00°, γ = 118.68°
With the nearest neighbours (Å) after each atom.
Positions (direct):
Cs1 0.0000 0.0000 0.0000  6 I 4.03-4.05
In1 0.2209 0.4418 0.7128  4 I 2.73-2.80
In2 0.7791 0.5582 0.2872  4 I 2.73-2.80
I1 0.5897 0.6901 0.1765  1 In 2.80
I2 0.8996 0.3099 0.8235  1 In 2.80
I3 0.1483 0.2966 0.4193  1 In 2.73
I4 0.8517 0.7034 0.5807  1 In 2.73
I5 0.1004 0.6901 0.1765  1 In 2.80
I6 0.4103 0.3099 0.8235  1 In 2.80
I7 0.4028 0.8055 0.8117  1 In 2.73
I8 0.5972 0.1945 0.1883  1 In 2.73

---

Calculated values (eV per atom) of E for the records, taken in order: -2.651 -2.671 -2.578 -2.543 -2.619 -2.291.